# SrCaSiIr, optimized geometry, DFT PBE
data_SrCaSiIr
_chemical_formula_sum 'Sr2 Ca2 Si2 Ir2'
_symmetry_space_group_name_H-M 'C 1 m 1'
_symmetry_Int_Tables_number 8
_cell_length_a 7.177
_cell_length_b 4.144
_cell_length_c 8.339
_cell_angle_alpha 90.00
_cell_angle_beta 106.78
_cell_angle_gamma 90.00
loop_
_symmetry_equiv_pos_as_xyz
'x,y,z'
'x,-y,z'
'x+1/2,y+1/2,z'
'x+1/2,-y+1/2,z'
loop_
_atom_site_label
_atom_site_type_symbol
_atom_site_fract_x
_atom_site_fract_y
_atom_site_fract_z
Sr1 Sr 0.000 0.000 0.000
Ca1 Ca 0.325 0.500 0.479
Si1 Si 0.240 0.000 0.723
Ir1 Ir 0.075 0.500 0.725
# ΔE_f (raw), eV/atom: -0.582
# Crystal system: monoclinic
# Uncorrected energy, eV/cell: -40.59

=====

# LiCr2In, optimized geometry, DFT PBE
data_LiCr2In
_chemical_formula_sum 'Li4 Cr8 In4'
_symmetry_space_group_name_H-M 'I -4 2 d'
_symmetry_Int_Tables_number 122
_symmetry_space_group_name_Hall 'I -4 2bw'
_cell_length_a 3.493
_cell_length_b 3.493
_cell_length_c 19.525
_cell_angle_alpha 90.00
_cell_angle_beta 90.00
_cell_angle_gamma 90.00
loop_
_atom_site_label
_atom_site_type_symbol
_atom_site_fract_x
_atom_site_fract_y
_atom_site_fract_z
Li1 Li 0.000 0.000 0.000
Cr1 Cr 0.211 0.250 0.125
In1 In 0.000 0.000 0.500
# Crystal system: tetragonal
# Uncorrected energy, eV/cell: -83.90

=====

# Ni2OsW2, optimized geometry, DFT PBE
data_Ni2OsW2
_chemical_formula_sum 'Ni4 Os2 W4'
_symmetry_space_group_name_H-M 'P 4/m b m'
_symmetry_Int_Tables_number 127
_symmetry_space_group_name_Hall '-P 4 2ab'
_cell_length_a 6.574
_cell_length_b 6.574
_cell_length_c 3.152
_cell_angle_alpha 90.00
_cell_angle_beta 90.00
_cell_angle_gamma 90.00
loop_
_atom_site_label
_atom_site_type_symbol
_atom_site_fract_x
_atom_site_fract_y
_atom_site_fract_z
Ni1 Ni 0.126 0.374 0.000
Os1 Os 0.000 0.000 0.000
W1 W 0.176 0.676 0.500
# Crystal system: tetragonal
# Uncorrected energy, eV/cell: -96.17

=====

# TiNbOsW, optimized geometry, DFT PBE
data_TiNbOsW
_chemical_formula_sum 'Ti4 Nb4 Os4 W4'
_symmetry_space_group_name_H-M 'F -4 3 m'
_symmetry_Int_Tables_number 216
_symmetry_space_group_name_Hall 'F -4 2 3'
_cell_length_a 6.343
_cell_length_b 6.343
_cell_length_c 6.343
_cell_angle_alpha 90.00
_cell_angle_beta 90.00
_cell_angle_gamma 90.00
loop_
_atom_site_label
_atom_site_type_symbol
_atom_site_fract_x
_atom_site_fract_y
_atom_site_fract_z
Ti1 Ti 0.000 0.000 0.000
Nb1 Nb 0.000 0.000 0.500
Os1 Os 0.250 0.250 0.750
W1 W 0.250 0.250 0.250
# Crystal system: cubic
# Uncorrected energy, eV/cell: -173.13

=====

What is the uncorrected energy in the second record?
-83.90 eV/cell